## Sr3CaPb12 (PBE-GGA)

Data for an optimized crystal structure of Sr3CaPb12.

The structure in extended XYZ format:
```
16
Lattice="5.022 0.000 0.000 0.000 5.022 0.000 0.000 0.000 19.967" Properties=species:S:1:pos:R:3 pbc="T T T"
Sr 0.000 0.000 0.000
Sr 0.000 0.000 5.040
Sr 0.000 0.000 14.928
Ca 0.000 0.000 9.984
Pb 0.000 2.511 2.517
Pb 0.000 2.511 7.568
Pb 0.000 2.511 12.399
Pb 0.000 2.511 17.451
Pb 2.511 0.000 2.517
Pb 2.511 0.000 7.568
Pb 2.511 0.000 12.399
Pb 2.511 0.000 17.451
Pb 2.511 2.511 0.000
Pb 2.511 2.511 5.029
Pb 2.511 2.511 9.984
Pb 2.511 2.511 14.939
```

## Properties
For the energy, the calculation gives -3.559 eV/atom. As for the space group: P4/mmm (123). As for the density: 9.20 g cm⁻³.